(1)
# POsAu2 (GGA-PBE, optimized geometry)
data_POsAu2
_chemical_formula_sum 'P1 Os1 Au2'
_cell_length_a 6.0705
_cell_length_b 6.0705
_cell_length_c 6.0705
_cell_angle_alpha 153.26
_cell_angle_beta 134.59
_cell_angle_gamma 53.48
_space_group_name_H-M_alt 'P 1'
_space_group_IT_number 1
_space_group_name_Hall 'P 1'
loop_
_atom_site_label
_atom_site_type_symbol
_atom_site_fract_x
_atom_site_fract_y
_atom_site_fract_z
_atom_site_occupancy
P1 P 0.0000 0.0000 0.0000 1
Os1 Os 0.1665 0.6665 0.5000 1
Au1 Au 0.4032 0.4032 0.0000 1
Au2 Au 0.7029 0.2029 0.5000 1
# Density of states at the Fermi level   2.788 states/eV/cell
# Symmetry   Imm2
# V   17.83 A^3/atom
# E   -5.4262 eV/atom

---

(2)
# POs2Au (GGA-PBE, optimized geometry)
data_POs2Au
_chemical_formula_sum 'P1 Os2 Au1'
_cell_length_a 2.9846
_cell_length_b 3.7505
_cell_length_c 5.5484
_cell_angle_alpha 90.00
_cell_angle_beta 105.14
_cell_angle_gamma 90.00
_space_group_name_H-M_alt 'P 1'
_space_group_IT_number 1
_space_group_name_Hall 'P 1'
loop_
_atom_site_label
_atom_site_type_symbol
_atom_site_fract_x
_atom_site_fract_y
_atom_site_fract_z
_atom_site_occupancy
P1 P 0.0000 0.0000 0.0000 1
Os1 Os 0.3498 0.5000 0.2158 1
Os2 Os 0.6502 0.5000 0.7842 1
Au1 Au 0.0000 0.0000 0.5000 1
# Density of states at the Fermi level   2.078 states/eV/cell
# Symmetry   P2/m
# V   14.99 A^3/atom
# E   -7.4348 eV/atom

---

(3)
# POsAu2 (GGA-PBE, optimized geometry)
data_POsAu2
_chemical_formula_sum 'P1 Os1 Au2'
_cell_length_a 3.7966
_cell_length_b 5.3644
_cell_length_c 5.3644
_cell_angle_alpha 38.14
_cell_angle_beta 90.00
_cell_angle_gamma 90.00
_space_group_name_H-M_alt 'P 1'
_space_group_IT_number 1
_space_group_name_Hall 'P 1'
loop_
_atom_site_label
_atom_site_type_symbol
_atom_site_fract_x
_atom_site_fract_y
_atom_site_fract_z
_atom_site_occupancy
P1 P 0.0000 0.0000 0.0000 1
Os1 Os 0.5000 0.8847 0.8847 1
Au1 Au 0.0000 0.2514 0.2514 1
Au2 Au 0.5000 0.6105 0.6105 1
# Density of states at the Fermi level   1.402 states/eV/cell
# Symmetry   Amm2
# V   16.87 A^3/atom
# E   -5.4521 eV/atom

---

(4)
# POsAu3 (GGA-PBE, optimized geometry)
data_POsAu3
_chemical_formula_sum 'P1 Os1 Au3'
_cell_length_a 4.6183
_cell_length_b 4.6183
_cell_length_c 4.6183
_cell_angle_alpha 90.00
_cell_angle_beta 90.00
_cell_angle_gamma 90.00
_space_group_name_H-M_alt 'P 1'
_space_group_IT_number 1
_space_group_name_Hall 'P 1'
loop_
_atom_site_label
_atom_site_type_symbol
_atom_site_fract_x
_atom_site_fract_y
_atom_site_fract_z
_atom_site_occupancy
P1 P 0.0000 0.0000 0.0000 1
Os1 Os 0.5000 0.5000 0.5000 1
Au1 Au 0.0000 0.0000 0.5000 1
Au2 Au 0.0000 0.5000 0.0000 1
Au3 Au 0.5000 0.0000 0.0000 1
# Density of states at the Fermi level   2.476 states/eV/cell
# Symmetry   Pm-3m
# V   19.70 A^3/atom
# E   -4.1152 eV/atom
# Polymorph energy (0 for the lowest one)   0.0 meV/atom

---

(5)
# P2OsAu (GGA-PBE, optimized geometry)
data_P2OsAu
_chemical_formula_sum 'P2 Os1 Au1'
_cell_length_a 2.8622
_cell_length_b 2.8622
_cell_length_c 8.0686
_cell_angle_alpha 90.00
_cell_angle_beta 90.00
_cell_angle_gamma 90.00
_space_group_name_H-M_alt 'P 1'
_space_group_IT_number 1
_space_group_name_Hall 'P 1'
loop_
_atom_site_label
_atom_site_type_symbol
_atom_site_fract_x
_atom_site_fract_y
_atom_site_fract_z
_atom_site_occupancy
P1 P 0.0000 0.0000 0.1881 1
P2 P 0.0000 0.0000 0.8119 1
Os1 Os 0.5000 0.5000 0.0000 1
Au1 Au 0.5000 0.5000 0.5000 1
# Density of states at the Fermi level   0.932 states/eV/cell
# Symmetry   P4/mmm
# V   16.52 A^3/atom
# E   -6.0951 eV/atom
# Polymorph energy (0 for the lowest one)   285.1 meV/atom

---

(6)
# P2OsAu (GGA-PBE, optimized geometry)
data_P2OsAu
_chemical_formula_sum 'P2 Os1 Au1'
_cell_length_a 3.5634
_cell_length_b 3.5634
_cell_length_c 7.8948
_cell_angle_alpha 106.85
_cell_angle_beta 106.85
_cell_angle_gamma 49.67
_space_group_name_H-M_alt 'P 1'
_space_group_IT_number 1
_space_group_name_Hall 'P 1'
loop_
_atom_site_label
_atom_site_type_symbol
_atom_site_fract_x
_atom_site_fract_y
_atom_site_fract_z
_atom_site_occupancy
P1 P 0.1221 0.1221 0.3165 1
P2 P 0.8779 0.8779 0.6835 1
Os1 Os 0.5000 0.5000 0.5000 1
Au1 Au 0.0000 0.0000 0.0000 1
# Density of states at the Fermi level   2.076 states/eV/cell
# Symmetry   C2/m
# V   18.10 A^3/atom
# E   -6.3802 eV/atom
# Polymorph energy (0 for the lowest one)   0.0 meV/atom

---

(7)
# POsAu2 (GGA-PBE, optimized geometry)
data_POsAu2
_chemical_formula_sum 'P1 Os1 Au2'
_cell_length_a 2.9809
_cell_length_b 2.9809
_cell_length_c 7.3142
_cell_angle_alpha 90.00
_cell_angle_beta 90.00
_cell_angle_gamma 90.00
_space_group_name_H-M_alt 'P 1'
_space_group_IT_number 1
_space_group_name_Hall 'P 1'
loop_
_atom_site_label
_atom_site_type_symbol
_atom_site_fract_x
_atom_site_fract_y
_atom_site_fract_z
_atom_site_occupancy
P1 P 0.0000 0.0000 0.0000 1
Os1 Os 0.5000 0.5000 0.8477 1
Au1 Au 0.0000 0.0000 0.5604 1
Au2 Au 0.5000 0.5000 0.2805 1
# Density of states at the Fermi level   2.178 states/eV/cell
# Symmetry   P4mm
# V   16.25 A^3/atom
# E   -5.6374 eV/atom

---

(8)
# POs2Au (GGA-PBE, optimized geometry)
data_POs2Au
_chemical_formula_sum 'P1 Os2 Au1'
_cell_length_a 8.6651
_cell_length_b 8.6651
_cell_length_c 8.6651
_cell_angle_alpha 18.82
_cell_angle_beta 18.82
_cell_angle_gamma 18.82
_space_group_name_H-M_alt 'P 1'
_space_group_IT_number 1
_space_group_name_Hall 'P 1'
loop_
_atom_site_label
_atom_site_type_symbol
_atom_site_fract_x
_atom_site_fract_y
_atom_site_fract_z
_atom_site_occupancy
P1 P 0.0000 0.0000 0.0000 1
Os1 Os 0.2649 0.2649 0.2649 1
Os2 Os 0.7351 0.7351 0.7351 1
Au1 Au 0.5000 0.5000 0.5000 1
# Density of states at the Fermi level   1.913 states/eV/cell
# Symmetry   R-3m
# V   14.79 A^3/atom
# E   -7.5824 eV/atom

---

(9)
# P4OsAu (GGA-PBE, optimized geometry)
data_P4OsAu
_chemical_formula_sum 'P4 Os1 Au1'
_cell_length_a 5.0294
_cell_length_b 5.0294
_cell_length_c 5.0294
_cell_angle_alpha 60.00
_cell_angle_beta 60.00
_cell_angle_gamma 60.00
_space_group_name_H-M_alt 'P 1'
_space_group_IT_number 1
_space_group_name_Hall 'P 1'
loop_
_atom_site_label
_atom_site_type_symbol
_atom_site_fract_x
_atom_site_fract_y
_atom_site_fract_z
_atom_site_occupancy
P1 P 0.1241 0.1241 0.1241 1
P2 P 0.1241 0.1241 0.6276 1
P3 P 0.1241 0.6276 0.1241 1
P4 P 0.6276 0.1241 0.1241 1
Os1 Os 0.7500 0.7500 0.7500 1
Au1 Au 0.5000 0.5000 0.5000 1
# Density of states at the Fermi level   6.730 states/eV/cell
# Symmetry   F-43m
# V   14.99 A^3/atom
# E   -4.9658 eV/atom

---

(10)
# POsAu2 (GGA-PBE, optimized geometry)
data_POsAu2
_chemical_formula_sum 'P1 Os1 Au2'
_cell_length_a 2.8343
_cell_length_b 2.8343
_cell_length_c 9.7254
_cell_angle_alpha 90.00
_cell_angle_beta 90.00
_cell_angle_gamma 121.67
_space_group_name_H-M_alt 'P 1'
_space_group_IT_number 1
_space_group_name_Hall 'P 1'
loop_
_atom_site_label
_atom_site_type_symbol
_atom_site_fract_x
_atom_site_fract_y
_atom_site_fract_z
_atom_site_occupancy
P1 P 0.0000 0.0000 0.0000 1
Os1 Os 0.0000 0.0000 0.5000 1
Au1 Au 0.5000 0.5000 0.2482 1
Au2 Au 0.5000 0.5000 0.7518 1
# Density of states at the Fermi level   3.338 states/eV/cell
# Symmetry   Cmmm
# V   16.62 A^3/atom
# E   -5.1299 eV/atom

---

(11)
# POs2Au (GGA-PBE, optimized geometry)
data_POs2Au
_chemical_formula_sum 'P1 Os2 Au1'
_cell_length_a 5.2889
_cell_length_b 5.2889
_cell_length_c 5.2889
_cell_angle_alpha 148.44
_cell_angle_beta 129.37
_cell_angle_gamma 60.90
_space_group_name_H-M_alt 'P 1'
_space_group_IT_number 1
_space_group_name_Hall 'P 1'
loop_
_atom_site_label
_atom_site_type_symbol
_atom_site_fract_x
_atom_site_fract_y
_atom_site_fract_z
_atom_site_occupancy
P1 P 0.0000 0.0000 0.0000 1
Os1 Os 0.2048 0.7048 0.5000 1
Os2 Os 0.7952 0.2952 0.5000 1
Au1 Au 0.5000 0.5000 0.0000 1
# Density of states at the Fermi level   2.072 states/eV/cell
# Symmetry   Immm
# V   14.83 A^3/atom
# E   -7.4322 eV/atom

---

(12)
# P2OsAu (GGA-PBE, optimized geometry)
data_P2OsAu
_chemical_formula_sum 'P2 Os1 Au1'
_cell_length_a 2.8301
_cell_length_b 2.8301
_cell_length_c 9.5757
_cell_angle_alpha 90.00
_cell_angle_beta 90.00
_cell_angle_gamma 118.32
_space_group_name_H-M_alt 'P 1'
_space_group_IT_number 1
_space_group_name_Hall 'P 1'
loop_
_atom_site_label
_atom_site_type_symbol
_atom_site_fract_x
_atom_site_fract_y
_atom_site_fract_z
_atom_site_occupancy
P1 P 0.0000 0.0000 0.0000 1
P2 P 0.5000 0.5000 0.3198 1
Os1 Os 0.0000 0.0000 0.5055 1
Au1 Au 0.5000 0.5000 0.7697 1
# Density of states at the Fermi level   3.214 states/eV/cell
# Symmetry   Cmm2
# V   16.88 A^3/atom
# E   -5.7899 eV/atom
# Polymorph energy (0 for the lowest one)   590.4 meV/atom

---

(13)
# P2OsAu (GGA-PBE, optimized geometry)
data_P2OsAu
_chemical_formula_sum 'P4 Os2 Au2'
_cell_length_a 6.5139
_cell_length_b 6.5139
_cell_length_c 6.5139
_cell_angle_alpha 129.52
_cell_angle_beta 129.52
_cell_angle_gamma 74.18
_space_group_name_H-M_alt 'P 1'
_space_group_IT_number 1
_space_group_name_Hall 'P 1'
loop_
_atom_site_label
_atom_site_type_symbol
_atom_site_fract_x
_atom_site_fract_y
_atom_site_fract_z
_atom_site_occupancy
P1 P 0.0920 0.6250 0.9670 1
P2 P 0.3750 0.3420 0.4670 1
P3 P 0.6580 0.1250 0.0330 1
P4 P 0.8750 0.9080 0.5330 1
Os1 Os 0.0000 0.0000 0.0000 1
Os2 Os 0.7500 0.2500 0.5000 1
Au1 Au 0.2500 0.7500 0.5000 1
Au2 Au 0.5000 0.5000 0.0000 1
# Density of states at the Fermi level   4.158 states/eV/cell
# Symmetry   I-42d
# V   20.05 A^3/atom
# E   -6.2755 eV/atom
# Polymorph energy (0 for the lowest one)   104.7 meV/atom

---

(14)
# POs2Au (GGA-PBE, optimized geometry)
data_POs2Au
_chemical_formula_sum 'P1 Os2 Au1'
_cell_length_a 4.9413
_cell_length_b 4.9413
_cell_length_c 4.8929
_cell_angle_alpha 104.68
_cell_angle_beta 104.68
_cell_angle_gamma 33.33
_space_group_name_H-M_alt 'P 1'
_space_group_IT_number 1
_space_group_name_Hall 'P 1'
loop_
_atom_site_label
_atom_site_type_symbol
_atom_site_fract_x
_atom_site_fract_y
_atom_site_fract_z
_atom_site_occupancy
P1 P 0.0000 0.0000 0.0000 1
Os1 Os 0.4620 0.4620 0.3548 1
Os2 Os 0.7181 0.7181 0.1896 1
Au1 Au 0.2294 0.2294 0.6834 1
# Density of states at the Fermi level   2.814 states/eV/cell
# Symmetry   Cm
# V   15.83 A^3/atom
# E   -7.3045 eV/atom

---

(15)
# POs2Au (GGA-PBE, optimized geometry)
data_POs2Au
_chemical_formula_sum 'P1 Os2 Au1'
_cell_length_a 2.8610
_cell_length_b 4.2701
_cell_length_c 5.3326
_cell_angle_alpha 90.00
_cell_angle_beta 105.46
_cell_angle_gamma 90.00
_space_group_name_H-M_alt 'P 1'
_space_group_IT_number 1
_space_group_name_Hall 'P 1'
loop_
_atom_site_label
_atom_site_type_symbol
_atom_site_fract_x
_atom_site_fract_y
_atom_site_fract_z
_atom_site_occupancy
P1 P 0.0000 0.0000 0.0000 1
Os1 Os 0.3143 0.0000 0.6234 1
Os2 Os 0.9085 0.5000 0.8121 1
Au1 Au 0.6525 0.5000 0.2989 1
# Density of states at the Fermi level   3.201 states/eV/cell
# Symmetry   Pm
# V   15.70 A^3/atom
# E   -7.3383 eV/atom

---

Computed energy of formation, in the same sequence as the records: 0.372 0.352 0.346 1.179 0.237 -0.049 0.161 0.204 1.059 0.669 0.354 0.542 0.056 0.482 0.448 eV per atom.